Entry 1:
# K2BaZn | Alexandria via LeMat-Bulk | meta-GGA SCAN | single point on PBEsol structure
data_K2BaZn
_chemical_formula_sum 'K2 Ba1 Zn1'
_space_group_name_H-M_alt 'P m m m'
_space_group_IT_number 47
_cell_length_a 5.152
_cell_length_b 5.196
_cell_length_c 6.717
_cell_angle_alpha 90.00
_cell_angle_beta 90.00
_cell_angle_gamma 90.00
loop_
_space_group_symop_operation_xyz
'x,y,z'
'-x,-y,-z'
'-x,-y,z'
'x,y,-z'
'x,-y,-z'
'-x,y,z'
'-x,y,-z'
'x,-y,z'
loop_
_atom_site_label
_atom_site_fract_x
_atom_site_fract_y
_atom_site_fract_z
K1 0.000 0.000 0.000
K2 0.500 0.500 0.000
Ba1 0.000 0.500 0.500
Zn1 0.500 0.000 0.500
# total magnetic moment = 0.42 μB per cell
# uncorrected energy = -17.2506 eV/atom
# density = 2.59 g/cm³
# V = 179.82 Å³ per cell
# ΔH_f (0 K) = 17.4 kJ/mol of atoms
# E above lowest polymorph = 99 meV per atom

***

Entry 2:
# K2BaZn | Alexandria via LeMat-Bulk | meta-GGA SCAN | single point on PBEsol structure
data_K2BaZn
_chemical_formula_sum 'K4 Ba2 Zn2'
_space_group_name_H-M_alt 'C m m m'
_space_group_IT_number 65
_space_group_name_Hall '-C 2 2'
_cell_length_a 7.295
_cell_length_b 12.478
_cell_length_c 4.351
_cell_angle_alpha 90.00
_cell_angle_beta 90.00
_cell_angle_gamma 90.00
loop_
_atom_site_label
_atom_site_fract_x
_atom_site_fract_y
_atom_site_fract_z
K1 0.250 0.250 0.000
Ba1 0.000 0.000 0.500
Zn1 0.000 0.500 0.500
# total magnetic moment = 0.00 μB per cell
# uncorrected energy = -17.1055 eV/atom
# density = 2.36 g/cm³
# V = 396.07 Å³ per cell
# ΔH_f (0 K) = 31.4 kJ/mol of atoms
# E above lowest polymorph = 244 meV per atom

***

Entry 3:
# K2BaZn | Alexandria via LeMat-Bulk | meta-GGA SCAN | single point on PBEsol structure
data_K2BaZn
_chemical_formula_sum 'K2 Ba1 Zn1'
_space_group_name_H-M_alt 'P 1 2/m 1'
_space_group_IT_number 10
_cell_length_a 4.446
_cell_length_b 6.766
_cell_length_c 6.101
_cell_angle_alpha 90.00
_cell_angle_beta 96.40
_cell_angle_gamma 90.00
loop_
_space_group_symop_operation_xyz
'x,y,z'
'-x,-y,-z'
'-x,y,-z'
'x,-y,z'
loop_
_atom_site_label
_atom_site_fract_x
_atom_site_fract_y
_atom_site_fract_z
K1 0.202 0.000 0.278
Ba1 0.500 0.500 0.000
Zn1 0.000 0.500 0.500
# total magnetic moment = 0.00 μB per cell
# uncorrected energy = -17.2249 eV/atom
# density = 2.56 g/cm³
# V = 182.37 Å³ per cell
# ΔH_f (0 K) = 19.9 kJ/mol of atoms
# E above lowest polymorph = 125 meV per atom

***

Entry 4:
# KBa2Zn | Alexandria via LeMat-Bulk | meta-GGA SCAN | single point on PBEsol structure
data_KBa2Zn
_chemical_formula_sum 'K1 Ba2 Zn1'
_space_group_name_H-M_alt 'P 1 2/m 1'
_space_group_IT_number 10
_cell_length_a 4.094
_cell_length_b 4.094
_cell_length_c 11.053
_cell_angle_alpha 90.00
_cell_angle_beta 90.08
_cell_angle_gamma 90.00
loop_
_space_group_symop_operation_xyz
'x,y,z'
'-x,-y,-z'
'-x,y,-z'
'x,-y,z'
loop_
_atom_site_label
_atom_site_fract_x
_atom_site_fract_y
_atom_site_fract_z
K1 0.000 0.000 0.000
Ba1 0.499 0.500 0.331
Zn1 0.000 0.000 0.500
# total magnetic moment = 0.01 μB per cell
# uncorrected energy = -25.3317 eV/atom
# density = 3.40 g/cm³
# V = 185.29 Å³ per cell
# ΔH_f (0 K) = -9.2 kJ/mol of atoms